(1)
VASP calculation (PBE) on a geometry-optimized Sm2MnGa4Pd3 structure.

## Properties
For the size of the total moment, the calculation gives 3.06 μB/f.u. The value obtained for the density is 8.3 g/cm3.

abc: 4.1190 4.1190 11.1944
angles: 90.00 90.00 90.00
Closest atoms and distances in Å follow each position.
Fractional coordinates of all 10 atoms:
Sm (0.5000, 0.0000, 0.2518)  8 Ga 3.17-3.49, 6 Pd 3.18-3.46, 2 Mn 3.46
Sm (0.0000, 0.5000, 0.7482)  8 Ga 3.17-3.49, 6 Pd 3.18-3.46, 2 Mn 3.46
Mn (0.5000, 0.5000, 0.5000)  4 Ga 2.56
Ga (0.5000, 0.5000, 0.0000)  4 Pd 2.57
Ga (0.0000, 0.0000, 0.0000)  4 Pd 2.57
Ga (0.5000, 0.0000, 0.6361)  3 Pd 2.53-2.56, 2 Mn 2.56
Ga (0.0000, 0.5000, 0.3639)  3 Pd 2.53-2.56, 2 Mn 2.56
Pd (0.0000, 0.0000, 0.5000)  4 Ga 2.56
Pd (0.5000, 0.0000, 0.8620)  5 Ga 2.53-2.57
Pd (0.0000, 0.5000, 0.1380)  5 Ga 2.53-2.57

***

(2)
VASP calculation (PBE) on a geometry-optimized B2IrPt structure.

## Properties
Its energy above the most stable polymorph in this dataset is 443 meV/atom. For the size of the total moment, the calculation gives 0.00 μB/f.u. The value obtained for the density is 15.8 g/cm3.

abc: 3.9303 3.9303 3.9303
angles: 60.00 60.00 60.00
Closest atoms and distances in Å follow each position.
Fractional coordinates of all 4 atoms:
B (0.2500, 0.2500, 0.2500)  4 Ir 2.41, 4 Pt 2.41
B (0.7500, 0.7500, 0.7500)  4 Ir 2.41, 4 Pt 2.41
Ir (0.0000, 0.0000, 0.0000)  8 B 2.41
Pt (0.5000, 0.5000, 0.5000)  8 B 2.41

***

Energy of formation from the pure elements (eV/atom)
-0.663; 0.449